The following is a GGA-PBE calculation of an optimized crystal structure of Pr4SmHg5, from Alexandria.

Calculated values
crystal system = tetragonal
spin magnetization = 2.28 μB/cell
VASP energy = -30.07 eV per cell
calculated density = 9.977 g/cm³
space group = P4/mmm

a b c (Å): 3.8558 3.8558 19.2202
angles (deg): 90.00 90.00 90.00
Sites, in units of the cell vectors:
Pr (0.0000, 0.0000, 0.1973)
Pr (0.0000, 0.0000, 0.8027)
Pr (0.0000, 0.0000, 0.6010)
Pr (0.0000, 0.0000, 0.3990)
Hg (0.5000, 0.5000, 0.2986)
Hg (0.5000, 0.5000, 0.7014)
Hg (0.5000, 0.5000, 0.9052)
Hg (0.5000, 0.5000, 0.5000)
Hg (0.5000, 0.5000, 0.0948)
Sm (0.0000, 0.0000, 0.0000)